Record 1
# LaCe3Os PBE relaxed
# Total DFT energy (no corrections) in eV per cell: -68.63
# Total magnetic moment in μB/atom: 0.0000
# DFT formation energy in eV per atom: -0.072
data_LaCe3Os
_chemical_formula_sum 'La2 Ce6 Os2'
_symmetry_space_group_name_H-M 'P 1 21/m 1'
_symmetry_Int_Tables_number 11
_symmetry_space_group_name_Hall '-P 2yb'
_cell_length_a 6.124
_cell_length_b 6.667
_cell_length_c 6.630
_cell_angle_alpha 90.00
_cell_angle_beta 93.40
_cell_angle_gamma 90.00
loop_
_atom_site_label
_atom_site_type_symbol
_atom_site_fract_x
_atom_site_fract_y
_atom_site_fract_z
La1 La 0.122 0.250 0.380
Ce1 Ce 0.074 0.750 0.102
Ce2 Ce 0.426 0.006 0.793
Os1 Os 0.310 0.750 0.451

Record 2
# LaCeOs PBE relaxed
# Total DFT energy (no corrections) in eV per cell: -22.14
# Total magnetic moment in μB/atom: 0.0029
# DFT formation energy in eV per atom: -0.018
data_LaCeOs
_chemical_formula_sum 'La1 Ce1 Os1'
_symmetry_space_group_name_H-M 'P 3 m 1'
_symmetry_Int_Tables_number 156
_symmetry_space_group_name_Hall 'P 3 -2"'
_cell_length_a 4.4866
_cell_length_b 4.4866
_cell_length_c 4.4590
_cell_angle_alpha 90.00
_cell_angle_beta 90.00
_cell_angle_gamma 120.00
loop_
_atom_site_label
_atom_site_type_symbol
_atom_site_fract_x
_atom_site_fract_y
_atom_site_fract_z
La1 La 0.0000 0.0000 0.0000
Ce1 Ce 0.6667 0.3333 0.4466
Os1 Os 0.3333 0.6667 0.6615

Record 3
# La2CeOs PBE relaxed
# Total DFT energy (no corrections) in eV per cell: -109.99
# Total magnetic moment in μB/atom: 0.1113
# DFT formation energy in eV per atom: -0.120
data_La2CeOs
_chemical_formula_sum 'La8 Ce4 Os4'
_symmetry_space_group_name_H-M 'C m c m'
_symmetry_Int_Tables_number 63
_symmetry_space_group_name_Hall '-C 2c 2'
_cell_length_a 3.945
_cell_length_b 12.588
_cell_length_c 9.819
_cell_angle_alpha 90.00
_cell_angle_beta 90.00
_cell_angle_gamma 90.00
loop_
_atom_site_label
_atom_site_type_symbol
_atom_site_fract_x
_atom_site_fract_y
_atom_site_fract_z
La1 La 0.000 0.144 0.069
Ce1 Ce 0.000 0.408 0.250
Os1 Os 0.000 0.233 0.750

Number 1: ΔE to the lowest computed polymorph 0.0000 eV/atom. Number 2: ΔE to the lowest computed polymorph 0.1105 eV/atom. Number 3: ΔE to the lowest computed polymorph 0.0371 eV/atom.